1.
VASP calculation (PBE) on a relaxed structure of Nd8Si3RhBr4.

Calculated values
formation energy without anion corrections = -1.041 eV per atom
Fermi-level density of states = 0.646 states/eV per atom

POSCAR file:
```
Nd8Si3RhBr4
1.0
-4.963 0.705 6.901
4.848 -6.151 4.116
3.914 6.891 -3.160
Nd Si Rh Br
8 3 1 4
direct
0.232 0.706 0.974
0.233 0.707 0.466
0.262 0.287 0.524
0.742 0.706 0.974
0.258 0.294 0.026
0.738 0.713 0.476
0.767 0.293 0.534
0.768 0.294 0.026
0.500 0.500 0.000
0.500 0.500 0.500
0.000 0.500 0.500
0.000 0.500 0.000
0.500 0.000 0.000
0.500 0.000 0.500
0.000 0.000 0.000
0.000 0.000 0.500
```

---

2.
VASP calculation (PBE) on a relaxed structure of TbCoTcGe3.

Calculated values
Fermi-level density of states = 0.506 states/eV per atom
DFT formation energy = -198 meV per atom

POSCAR file:
```
TbCoTcGe3
1.0
5.648 0.000 0.000
0.000 7.613 0.000
0.000 -3.806 5.445
Tb Co Tc Ge
2 2 2 6
direct
0.750 0.243 0.485
0.250 0.757 0.515
0.250 0.032 0.064
0.750 0.968 0.936
0.250 0.447 0.894
0.750 0.553 0.106
0.250 0.234 0.467
0.000 0.241 0.000
0.500 0.759 0.000
0.500 0.241 0.000
0.000 0.759 0.000
0.750 0.766 0.533
```

---

3.
VASP calculation (PBE) on a relaxed structure of K4ErTc3O12.

Calculated values
formation energy without anion corrections = -1.785 eV per atom
Fermi-level density of states = 0.411 states/eV per atom

POSCAR file:
```
K4ErTc3O12
1.0
-0.767 -4.215 5.527
6.145 -1.288 -3.079
-0.201 6.665 2.106
K Er Tc O
4 1 3 12
direct
0.500 0.500 0.500
0.000 0.000 0.500
0.500 0.000 0.000
0.000 0.500 0.000
0.000 0.000 0.000
0.500 0.000 0.500
0.500 0.500 0.000
0.000 0.500 0.500
0.250 0.500 0.750
0.731 0.000 0.731
0.269 0.000 0.269
0.750 0.500 0.250
0.731 0.731 0.000
0.269 0.269 0.000
0.750 0.250 0.500
0.250 0.750 0.500
0.500 0.250 0.750
0.000 0.731 0.731
0.500 0.750 0.250
0.000 0.269 0.269
```

---

4.
VASP calculation (PBE) on a relaxed structure of U2Co3B.

Calculated values
Fermi-level density of states = 1.473 states/eV per atom
DFT formation energy = -216 meV per atom

POSCAR file:
```
U2Co3B
1.0
4.199 -0.016 1.937
1.233 4.014 1.937
-0.022 -0.016 4.624
U Co B
2 3 1
direct
0.375 0.375 0.375
0.625 0.625 0.625
0.000 0.000 0.500
0.500 0.000 0.000
0.000 0.500 0.000
0.000 0.000 0.000
```

---

5.
VASP calculation (PBE) on a relaxed structure of ZnCu2GeSe4.

Calculated values
formation energy without anion corrections = -0.363 eV per atom
Fermi-level density of states = 0.097 states/eV per atom

POSCAR file:
```
ZnCu2GeSe4
1.0
-1.200 3.811 -5.653
4.314 -1.953 -5.051
-4.237 -3.624 4.105
Zn Cu Ge Se
1 2 1 4
direct
0.000 0.000 0.000
0.750 0.250 0.500
0.250 0.750 0.500
0.500 0.500 0.000
0.384 0.876 0.000
0.124 0.124 0.509
0.616 0.616 0.491
0.876 0.384 0.000
```

---

6.
VASP calculation (PBE) on a relaxed structure of NaPuF5.

Calculated values
formation energy without anion corrections = -3.285 eV per atom
Fermi-level density of states = 0.738 states/eV per atom

POSCAR file:
```
NaPuF5
1.0
-4.790 2.478 2.416
-1.668 -1.868 -5.604
0.229 -6.712 4.904
Na Pu F
2 2 10
direct
0.494 0.294 0.788
0.504 0.709 0.211
0.999 0.001 0.999
0.999 0.501 0.499
0.913 0.170 0.256
0.086 0.833 0.742
0.818 0.657 0.356
0.260 0.892 0.120
0.283 0.323 0.021
0.320 0.664 0.432
0.715 0.680 0.978
0.678 0.338 0.567
0.738 0.111 0.879
0.180 0.345 0.642
```

---

7.
VASP calculation (PBE) on a relaxed structure of BaRhPbO6.

Calculated values
formation energy without anion corrections = -1.116 eV per atom
Fermi-level density of states = 0.534 states/eV per atom

POSCAR file:
```
BaRhPbO6
1.0
-2.908 -0.644 4.715
-5.182 -2.053 -0.178
2.080 -5.297 0.559
Ba Rh Pb O
1 1 1 6
direct
0.000 0.000 0.000
0.333 0.333 0.500
0.667 0.667 0.500
0.034 0.364 0.300
0.364 0.034 0.700
0.602 0.364 0.700
0.034 0.603 0.700
0.364 0.603 0.300
0.602 0.034 0.300
```

---

8.
VASP calculation (PBE) on a relaxed structure of Ti5GaTc6.

Calculated values
Fermi-level density of states = 0.821 states/eV per atom
DFT formation energy = -431 meV per atom

POSCAR file:
```
Ti5GaTc6
1.0
4.187 0.019 -1.219
-0.858 5.493 -2.860
-0.059 0.375 7.571
Tc Ga Ti
6 1 5
direct
0.833 0.581 0.666
0.833 0.085 0.666
0.500 0.742 0.000
0.500 0.258 0.000
0.167 0.915 0.334
0.167 0.419 0.334
0.000 0.000 0.000
0.661 0.160 0.320
0.330 0.331 0.661
0.000 0.500 0.000
0.670 0.669 0.339
0.339 0.840 0.680
```

---

What did the sixth record say?
VASP calculation (PBE) on a relaxed structure of NaPuF5.

Calculated values
formation energy without anion corrections = -3.285 eV per atom
Fermi-level density of states = 0.738 states/eV per atom

POSCAR file:
```
NaPuF5
1.0
-4.790 2.478 2.416
-1.668 -1.868 -5.604
0.229 -6.712 4.904
Na Pu F
2 2 10
direct
0.494 0.294 0.788
0.504 0.709 0.211
0.999 0.001 0.999
0.999 0.501 0.499
0.913 0.170 0.256
0.086 0.833 0.742
0.818 0.657 0.356
0.260 0.892 0.120
0.283 0.323 0.021
0.320 0.664 0.432
0.715 0.680 0.978
0.678 0.338 0.567
0.738 0.111 0.879
0.180 0.345 0.642
```

---

What is the formula in the sixth record?
NaPuF5